Compound: CaYSN2
Source: Alexandria via LeMat-Bulk
Functional: PBE
Structure: optimized geometry

abc: 4.4390 4.4390 5.3931
angles: 90.00 90.00 90.00
With the nearest neighbours (Å) after each atom.
Positions (direct):
Ca 0.0000 0.0000 0.0000  4 S 3.14, 8 N 3.49
Y 0.5000 0.5000 0.5000  4 N 2.22
S 0.5000 0.5000 0.0000  2 Y 2.70
N 0.0000 0.5000 0.5000  2 Y 2.22
N 0.5000 0.0000 0.5000  2 Y 2.22

Results
Mass density in kg/m3: 2954
Excess energy over the best structure of this formula in the dataset in eV per formula unit: 0.00
Energy relative to the elements, uncorrected in eV per atom: -0.194
Calculated volume in Å³ per cell: 106.3
Calculated total energy in eV/atom: -6.04